Entry 1:
Material: NdGa3FeCo
Method: DFT, PBE
State: relaxed

Output
For the energy relative to the elements, the calculation gives -0.1886 eV per atom. The calculation puts the total moment at 0.0 μB per formula unit.

Cell: 7.3891 10.3181 5.8093 Å, 90.00 90.00 90.00°
Last column: nearest neighbours and their distance in Å.
Space group Cmcm (No. 63)
Asymmetric unit:
Nd: 0.0000 0.2356 0.2500 x4  1 Co 2.90, 2 Ga 2.92, 1 Fe 2.93
Ga: 0.0000 0.2663 0.7500 x4  1 Co 2.24, 1 Fe 2.25
Ga: 0.2478 0.0000 0.0000 x8  2 Co 2.37, 2 Fe 2.39
Fe: 0.0000 0.0480 0.7500 x4  5 Ga 2.25-2.39
Co: 0.0000 0.4830 0.7500 x4  5 Ga 2.24-2.37

Entry 2:
Material: Tb4InC
Method: DFT, PBE
State: relaxed

Output
For the energy relative to the elements, the calculation gives -0.2282 eV per atom. The calculation puts the total moment at 0.0 μB per formula unit.

Cell: 15.2442 6.1226 6.8785 Å, 90.00 106.35 90.00°
Last column: nearest neighbours and their distance in Å.
Space group C2/c (No. 15)
Asymmetric unit:
Tb: 0.1007 0.0916 0.4488 x8  1 C 2.41
Tb: 0.1911 0.4283 0.1591 x8  2 C 2.51-2.54
In: 0.0000 0.4072 0.7500 x4  10 Tb 3.30-3.53, 2 In 3.62
C: 0.2500 0.2500 0.5000 x4  6 Tb 2.41-2.54

Entry 3:
Material: Sr2EuPt
Method: DFT, PBE
State: relaxed

Output
For the distance to the lowest polymorph of the same formula, the calculation gives 89 meV per atom. For the energy relative to the elements, the calculation gives -0.3125 eV per atom. The calculation puts the total moment at 7.5 μB per formula unit.

Cell: 4.2011 4.2011 34.1827 Å, 90.00 90.00 120.00°
Last column: nearest neighbours and their distance in Å.
Space group R-3m (No. 166, hexagonal axes)
Asymmetric unit:
Sr: 0.0000 0.0000 0.1159 x6  3 Pt 2.98
Eu: 0.0000 0.0000 0.0000 x3  2 Sr 3.96, 6 Eu 4.20
Pt: 0.0000 0.0000 0.5000 x3  6 Sr 2.98

Entry 4:
Material: FeWAu2
Method: DFT, PBE
State: relaxed

Output
For the distance to the lowest polymorph of the same formula, the calculation gives 194 meV per atom. For the energy relative to the elements, the calculation gives 0.4277 eV per atom. The calculation puts the total moment at 2.1 μB per formula unit.

Cell: 9.4558 2.7679 4.9409 Å, 90.00 99.10 90.00°
Last column: nearest neighbours and their distance in Å.
Space group C2/m (No. 12)
Asymmetric unit:
Fe: 0.0000 0.0000 0.0000 x2  2 Fe 2.77, 4 W 2.83, 6 Au 2.84
W: 0.0000 0.5000 0.5000 x2  2 W 2.77, 4 Fe 2.83, 6 Au 2.83-2.86
Au: 0.2492 0.5000 0.2482 x4  6 Au 2.77-2.84, 3 W 2.83-2.86, 3 Fe 2.84

Repeat the first record exactly.
Material: NdGa3FeCo
Method: DFT, PBE
State: relaxed

Output
For the energy relative to the elements, the calculation gives -0.1886 eV per atom. The calculation puts the total moment at 0.0 μB per formula unit.

Cell: 7.3891 10.3181 5.8093 Å, 90.00 90.00 90.00°
Last column: nearest neighbours and their distance in Å.
Space group Cmcm (No. 63)
Asymmetric unit:
Nd: 0.0000 0.2356 0.2500 x4  1 Co 2.90, 2 Ga 2.92, 1 Fe 2.93
Ga: 0.0000 0.2663 0.7500 x4  1 Co 2.24, 1 Fe 2.25
Ga: 0.2478 0.0000 0.0000 x8  2 Co 2.37, 2 Fe 2.39
Fe: 0.0000 0.0480 0.7500 x4  5 Ga 2.25-2.39
Co: 0.0000 0.4830 0.7500 x4  5 Ga 2.24-2.37